Computed, not measured: a relaxed structure of MgPaSi at the GGA-PBE level of DFT.

Cell lengths 4.345, 9.958, 5.866 Å; angles 90.00, 90.00, 90.00 degrees
Space group Cmcm (No. 63)
One atom of each set of equivalent atoms:
Mg: 0.000 0.000 0.000 x4
Pa: 0.000 0.306 0.250 x4
Si: 0.000 0.386 0.750 x4

Output
The total DFT energy (no corrections) is -68.48 eV per cell. Its density of states at the Fermi level is 13.32 states/eV/cell.

***

Computed, not measured: a relaxed structure of RbFe3Co at the GGA-PBE level of DFT.

Cell lengths 4.570, 4.570, 4.570 Å; angles 90.00, 90.00, 90.00 degrees
Space group Pm-3m (No. 221)
One atom of each set of equivalent atoms:
Rb: 0.000 0.000 0.000 x1
Fe: 0.000 0.000 0.500 x3
Co: 0.500 0.500 0.500 x1

Output
The calculation puts the formation enthalpy at 0 K at 2855 meV per atom. The energy above the most stable polymorph in this dataset comes out at 8.71 eV per formula unit. Its density of states at the Fermi level is 9.77 states/eV/cell.

***

Computed, not measured: a relaxed structure of RbV3Ir at the GGA-PBE level of DFT.

Cell lengths 4.408, 4.408, 4.408 Å; angles 90.00, 90.00, 90.00 degrees
Space group Pm-3m (No. 221)
One atom of each set of equivalent atoms:
Rb: 0.000 0.000 0.000 x1
V: 0.000 0.000 0.500 x3
Ir: 0.500 0.500 0.500 x1

Output
The calculation puts the formation enthalpy at 0 K at 2622 meV per atom. The energy above the most stable polymorph in this dataset comes out at 8.07 eV per formula unit. Its density of states at the Fermi level is 7.71 states/eV/cell.

***

Computed, not measured: a relaxed structure of ZnHgRu2 at the GGA-PBE level of DFT.

Cell lengths 2.943, 4.733, 9.178 Å; angles 90.00, 90.00, 90.00 degrees
Space group Cmmm (No. 65)
One atom of each set of equivalent atoms:
Zn: 0.000 0.000 0.000 x2
Hg: 0.000 0.000 0.500 x2
Ru: 0.000 0.500 0.232 x4

Output
The calculation puts the formation enthalpy at 0 K at 464 meV per atom. The energy above the most stable polymorph in this dataset comes out at 1.29 eV per formula unit. Its density of states at the Fermi level is 8.32 states/eV/cell.

***

Please write out number 3 again, unchanged.
Computed, not measured: a relaxed structure of RbV3Ir at the GGA-PBE level of DFT.

Cell lengths 4.408, 4.408, 4.408 Å; angles 90.00, 90.00, 90.00 degrees
Space group Pm-3m (No. 221)
One atom of each set of equivalent atoms:
Rb: 0.000 0.000 0.000 x1
V: 0.000 0.000 0.500 x3
Ir: 0.500 0.500 0.500 x1

Output
The calculation puts the formation enthalpy at 0 K at 2622 meV per atom. The energy above the most stable polymorph in this dataset comes out at 8.07 eV per formula unit. Its density of states at the Fermi level is 7.71 states/eV/cell.

***

Question: Number 4 is which compound?
Answer: ZnHgRu2